[1]
# LaIn2Pb2, optimized geometry, DFT PBE-GGA
data_LaIn2Pb2
_cell_length_a 8.6649
_cell_length_b 8.6649
_cell_length_c 3.9917
_cell_angle_alpha 90.00
_cell_angle_beta 90.00
_cell_angle_gamma 90.00
_symmetry_space_group_name_H-M 'P 4/m b m'
_symmetry_Int_Tables_number 127
_symmetry_space_group_name_Hall '-P 4 2ab'
loop_
_atom_site_label
_atom_site_fract_x
_atom_site_fract_y
_atom_site_fract_z
La1 0.0000 0.0000 0.0000
In1 0.1231 0.3769 0.0000
Pb1 0.1726 0.6726 0.5000
# **Volume**: 30.0 Å³ per atom
# **Calculated formation energy**: -1.01 eV/f.u.
# **Raw total energy**: -3.7661 eV per atom

---

[2]
# La4InPb2, optimized geometry, DFT PBE-GGA
data_La4InPb2
_cell_length_a 6.0876
_cell_length_b 6.8867
_cell_length_c 11.2535
_cell_angle_alpha 90.00
_cell_angle_beta 101.15
_cell_angle_gamma 90.00
_symmetry_space_group_name_H-M 'P 1 21/m 1'
_symmetry_Int_Tables_number 11
_symmetry_space_group_name_Hall '-P 2yb'
loop_
_atom_site_label
_atom_site_fract_x
_atom_site_fract_y
_atom_site_fract_z
La1 0.1506 0.2500 0.1241
La2 0.2490 0.7500 0.4517
La3 0.3206 0.0208 0.7373
In1 0.1067 0.7500 0.1718
Pb1 0.2123 0.2500 0.4314
Pb2 0.4050 0.7500 0.9997
# **Volume**: 33.1 Å³ per atom
# **Calculated formation energy**: -3.09 eV/f.u.
# **Raw total energy**: -4.7076 eV per atom

---

[3]
# La2InPb, optimized geometry, DFT PBE-GGA
data_La2InPb
_cell_length_a 4.0468
_cell_length_b 4.0468
_cell_length_c 29.1295
_cell_angle_alpha 90.00
_cell_angle_beta 90.00
_cell_angle_gamma 120.00
_symmetry_space_group_name_H-M 'R -3 m'
_symmetry_Int_Tables_number 166
_symmetry_space_group_name_Hall '-R 3 2"'
loop_
_atom_site_label
_atom_site_fract_x
_atom_site_fract_y
_atom_site_fract_z
La1 0.0000 0.0000 0.2491
In1 0.0000 0.0000 0.5000
Pb1 0.0000 0.0000 0.0000
# **Volume**: 34.4 Å³ per atom
# **Calculated formation energy**: -1.42 eV/f.u.
# **Raw total energy**: -4.4301 eV per atom

---

[4]
# LaIn2Pb2, optimized geometry, DFT PBE-GGA
data_LaIn2Pb2
_cell_length_a 8.7869
_cell_length_b 8.7869
_cell_length_c 3.9185
_cell_angle_alpha 90.00
_cell_angle_beta 90.00
_cell_angle_gamma 90.00
_symmetry_space_group_name_H-M 'P 4/m b m'
_symmetry_Int_Tables_number 127
_symmetry_space_group_name_Hall '-P 4 2ab'
loop_
_atom_site_label
_atom_site_fract_x
_atom_site_fract_y
_atom_site_fract_z
La1 0.0000 0.0000 0.0000
In1 0.1607 0.3393 0.5000
Pb1 0.1351 0.6351 0.0000
# **Volume**: 30.3 Å³ per atom
# **Calculated formation energy**: -0.83 eV/f.u.
# **Raw total energy**: -3.7308 eV per atom

---

[5]
# LaIn2Pb, optimized geometry, DFT PBE-GGA
data_LaIn2Pb
_cell_length_a 4.6695
_cell_length_b 4.6695
_cell_length_c 10.5131
_cell_angle_alpha 90.00
_cell_angle_beta 90.00
_cell_angle_gamma 90.00
_symmetry_space_group_name_H-M 'I 4/m m m'
_symmetry_Int_Tables_number 139
_symmetry_space_group_name_Hall '-I 4 2'
loop_
_atom_site_label
_atom_site_fract_x
_atom_site_fract_y
_atom_site_fract_z
La1 0.0000 0.0000 0.0000
In1 0.0000 0.5000 0.2500
Pb1 0.0000 0.0000 0.5000
# **Volume**: 28.7 Å³ per atom
# **Calculated formation energy**: -1.57 eV/f.u.
# **Raw total energy**: -3.9198 eV per atom

---

[6]
# La2InPb, optimized geometry, DFT PBE-GGA
data_La2InPb
_cell_length_a 3.6654
_cell_length_b 3.6654
_cell_length_c 9.2439
_cell_angle_alpha 90.00
_cell_angle_beta 90.00
_cell_angle_gamma 90.00
_symmetry_space_group_name_H-M 'P 4/m m m'
_symmetry_Int_Tables_number 123
_symmetry_space_group_name_Hall '-P 4 2'
loop_
_atom_site_label
_atom_site_fract_x
_atom_site_fract_y
_atom_site_fract_z
La1 0.0000 0.0000 0.2440
In1 0.5000 0.5000 0.0000
Pb1 0.5000 0.5000 0.5000
# **Volume**: 31.0 Å³ per atom
# **Calculated formation energy**: -2.18 eV/f.u.
# **Raw total energy**: -4.6215 eV per atom

---

[7]
# La6InPb, optimized geometry, DFT PBE-GGA
data_La6InPb
_cell_length_a 5.0730
_cell_length_b 5.0730
_cell_length_c 10.1347
_cell_angle_alpha 90.00
_cell_angle_beta 90.00
_cell_angle_gamma 90.00
_symmetry_space_group_name_H-M 'P 4/m m m'
_symmetry_Int_Tables_number 123
_symmetry_space_group_name_Hall '-P 4 2'
loop_
_atom_site_label
_atom_site_fract_x
_atom_site_fract_y
_atom_site_fract_z
La1 0.0000 0.0000 0.0000
La2 0.0000 0.0000 0.5000
La3 0.0000 0.5000 0.2492
In1 0.5000 0.5000 0.0000
Pb1 0.5000 0.5000 0.5000
# **Volume**: 32.6 Å³ per atom
# **Calculated formation energy**: -2.78 eV/f.u.
# **Raw total energy**: -4.8487 eV per atom

---

[8]
# LaInPb, optimized geometry, DFT PBE-GGA
data_LaInPb
_cell_length_a 4.8469
_cell_length_b 4.8469
_cell_length_c 4.6270
_cell_angle_alpha 90.00
_cell_angle_beta 90.00
_cell_angle_gamma 120.00
_symmetry_space_group_name_H-M 'P 3 m 1'
_symmetry_Int_Tables_number 156
_symmetry_space_group_name_Hall 'P 3 -2"'
loop_
_atom_site_label
_atom_site_fract_x
_atom_site_fract_y
_atom_site_fract_z
La1 0.0000 0.0000 0.0000
In1 0.3333 0.6667 0.6372
Pb1 0.6667 0.3333 0.3959
# **Volume**: 31.4 Å³ per atom
# **Calculated formation energy**: -1.39 eV/f.u.
# **Raw total energy**: -4.2556 eV per atom

---

[9]
# LaIn2Pb, optimized geometry, DFT PBE-GGA
data_LaIn2Pb
_cell_length_a 3.3187
_cell_length_b 5.5811
_cell_length_c 6.2769
_cell_angle_alpha 90.00
_cell_angle_beta 90.01
_cell_angle_gamma 90.00
_symmetry_space_group_name_H-M 'P 1 2/m 1'
_symmetry_Int_Tables_number 10
_symmetry_space_group_name_Hall '-P 2y'
loop_
_atom_site_label
_atom_site_fract_x
_atom_site_fract_y
_atom_site_fract_z
La1 0.0000 0.0000 0.0000
In1 0.4976 0.5000 0.7598
Pb1 0.5000 0.0000 0.5000
# **Volume**: 29.1 Å³ per atom
# **Calculated formation energy**: -1.17 eV/f.u.
# **Raw total energy**: -3.8199 eV per atom

---

[10]
# La8In2Pb, optimized geometry, DFT PBE-GGA
data_La8In2Pb
_cell_length_a 18.3391
_cell_length_b 5.3011
_cell_length_c 8.4706
_cell_angle_alpha 90.00
_cell_angle_beta 116.14
_cell_angle_gamma 90.00
_symmetry_space_group_name_H-M 'C 1 2/m 1'
_symmetry_Int_Tables_number 12
_symmetry_space_group_name_Hall '-C 2y'
loop_
_atom_site_label
_atom_site_fract_x
_atom_site_fract_y
_atom_site_fract_z
La1 0.0154 0.0000 0.2279
La2 0.1321 0.5000 0.9232
La3 0.1636 0.5000 0.4076
La4 0.1785 0.0000 0.7408
In1 0.1905 0.0000 0.1734
Pb1 0.0000 0.5000 0.5000
# **Volume**: 33.6 Å³ per atom
# **Calculated formation energy**: -3.07 eV/f.u.
# **Raw total energy**: -4.6981 eV per atom

---

[11]
# La6InPb, optimized geometry, DFT PBE-GGA
data_La6InPb
_cell_length_a 9.4523
_cell_length_b 7.5375
_cell_length_c 8.7885
_cell_angle_alpha 90.00
_cell_angle_beta 122.47
_cell_angle_gamma 90.00
_symmetry_space_group_name_H-M 'C 1 2/m 1'
_symmetry_Int_Tables_number 12
_symmetry_space_group_name_Hall '-C 2y'
loop_
_atom_site_label
_atom_site_fract_x
_atom_site_fract_y
_atom_site_fract_z
La1 0.1370 0.2432 0.2736
La2 0.2247 0.5000 0.9984
In1 0.0000 0.0000 0.5000
Pb1 0.0000 0.5000 0.5000
# **Volume**: 33.0 Å³ per atom
# **Calculated formation energy**: -2.26 eV/f.u.
# **Raw total energy**: -4.7841 eV per atom

---

[12]
# La2InPb, optimized geometry, DFT PBE-GGA
data_La2InPb
_cell_length_a 3.6801
_cell_length_b 4.6144
_cell_length_c 7.3147
_cell_angle_alpha 90.00
_cell_angle_beta 90.00
_cell_angle_gamma 90.00
_symmetry_space_group_name_H-M 'P m m m'
_symmetry_Int_Tables_number 47
_symmetry_space_group_name_Hall '-P 2 2'
loop_
_atom_site_label
_atom_site_fract_x
_atom_site_fract_y
_atom_site_fract_z
La1 0.0000 0.0000 0.2461
In1 0.5000 0.5000 0.0000
Pb1 0.5000 0.5000 0.5000
# **Volume**: 31.1 Å³ per atom
# **Calculated formation energy**: -2.21 eV/f.u.
# **Raw total energy**: -4.6279 eV per atom

---

[13]
# LaInPb3, optimized geometry, DFT PBE-GGA
data_LaInPb3
_cell_length_a 9.4171
_cell_length_b 12.3615
_cell_length_c 11.0990
_cell_angle_alpha 90.00
_cell_angle_beta 90.00
_cell_angle_gamma 90.00
_symmetry_space_group_name_H-M 'C m c m'
_symmetry_Int_Tables_number 63
_symmetry_space_group_name_Hall '-C 2c 2'
loop_
_atom_site_label
_atom_site_fract_x
_atom_site_fract_y
_atom_site_fract_z
La1 0.0000 0.1182 0.2500
La2 0.0000 0.3641 0.7500
In1 0.2500 0.2500 0.0000
Pb1 0.0000 0.1110 0.5886
Pb2 0.1709 0.5000 0.0000
Pb3 0.1771 0.3624 0.2500
# **Volume**: 32.3 Å³ per atom
# **Calculated formation energy**: -0.75 eV/f.u.
# **Raw total energy**: -3.9072 eV per atom